No. 1
Material: TiIn2S4
Method: DFT, PBE-GGA
State: relaxed

```
data_TiIn2S4
_cell_length_a 3.752
_cell_length_b 6.704
_cell_length_c 7.243
_cell_angle_alpha 120.94
_cell_angle_beta 105.01
_cell_angle_gamma 90.00
_space_group_name_H-M_alt 'P 1'
_space_group_IT_number 1
loop_
_space_group_symop_operation_xyz
'x,y,z'
loop_
_atom_site_label
_atom_site_fract_x
_atom_site_fract_y
_atom_site_fract_z
_atom_site_occupancy
Ti1 0.000 0.000 0.000 1
In1 0.710 0.721 0.419 1
In2 0.290 0.279 0.581 1
S1 0.888 0.181 0.777 1
S2 0.112 0.819 0.223 1
S3 0.626 0.267 0.253 1
S4 0.374 0.733 0.747 1
```

Computed properties:
**Space group**: C2/m, No. 12
**Calculated total energy**: -34.65 eV/cell

=====

No. 2
Material: Rb2LiNdBr6
Method: DFT, PBE-GGA
State: relaxed

```
data_Rb2LiNdBr6
_cell_length_a 7.957
_cell_length_b 7.957
_cell_length_c 7.957
_cell_angle_alpha 60.00
_cell_angle_beta 60.00
_cell_angle_gamma 60.00
_space_group_name_H-M_alt 'P 1'
_space_group_IT_number 1
loop_
_space_group_symop_operation_xyz
'x,y,z'
loop_
_atom_site_label
_atom_site_fract_x
_atom_site_fract_y
_atom_site_fract_z
_atom_site_occupancy
Rb1 0.750 0.750 0.750 1
Rb2 0.250 0.250 0.250 1
Li1 0.500 0.500 0.500 1
Nd1 0.000 0.000 0.000 1
Br1 0.744 0.256 0.256 1
Br2 0.256 0.256 0.744 1
Br3 0.256 0.744 0.744 1
Br4 0.256 0.744 0.256 1
Br5 0.744 0.256 0.744 1
Br6 0.744 0.744 0.256 1
```

Computed properties:
**Space group**: Fm-3m, No. 225
**Calculated total energy**: -36.30 eV/cell

=====

No. 3
Material: MnPt3S
Method: DFT, PBE-GGA
State: relaxed

```
data_MnPt3S
_cell_length_a 4.508
_cell_length_b 4.508
_cell_length_c 4.508
_cell_angle_alpha 90.00
_cell_angle_beta 90.00
_cell_angle_gamma 90.00
_space_group_name_H-M_alt 'P 1'
_space_group_IT_number 1
loop_
_space_group_symop_operation_xyz
'x,y,z'
loop_
_atom_site_label
_atom_site_fract_x
_atom_site_fract_y
_atom_site_fract_z
_atom_site_occupancy
S1 0.000 0.000 0.000 1
Mn1 0.500 0.500 0.500 1
Pt1 0.000 0.500 0.000 1
Pt2 0.000 0.000 0.500 1
Pt3 0.500 0.000 0.000 1
```

Computed properties:
**Space group**: Pm-3m, No. 221
**Calculated total energy**: -29.87 eV/cell